A relaxed ScAl2GaCo crystal. Source: Alexandria, functional PBE.

Output
E_form in eV/atom: -0.158

Lattice parameters (Å, degrees): 4.5191 4.6633 4.5191 90.00 90.00 90.00
Sites, in units of the cell vectors:
Sc (0.0000, 0.5000, 0.0000)
Co (0.0000, 0.0000, 0.0000)
Al (0.0000, 0.0000, 0.5000)
Al (0.5000, 0.0000, 0.0000)
Ga (0.5000, 0.5000, 0.5000)